[1]
The following is a DFT calculation (PBE-GGA) of a geometry-optimized LiCuTe2IrS structure.

The structure in extended XYZ format:
```
12
Lattice="1.944 -6.429 0.000 1.944 6.429 0.000 0.000 0.000 9.509" Properties=species:S:1:pos:R:3 pbc="T T T"
Li 1.944 3.394 7.132
Li 1.944 -3.394 2.377
Cu 1.944 6.124 2.377
Cu 1.944 -6.124 7.132
Te 1.944 4.556 0.300
Te 1.944 4.556 4.454
Te 1.944 -4.556 5.055
Te 1.944 -4.556 9.209
Ir 1.944 0.000 0.000
Ir 1.944 0.000 4.754
S 1.944 0.889 2.377
S 1.944 -0.889 7.132
```

Properties
ρ = 7.7 Mg/m³
crystal system = orthorhombic
magnetization = 0.00 μB/cell
total DFT energy (no corrections) = -4.38 eV per atom

[2]
The following is a DFT calculation (PBE-GGA) of a geometry-optimized Ta2InO4 structure.

The structure in extended XYZ format:
```
14
Lattice="0.000 4.636 4.636 4.636 0.000 4.636 4.636 4.636 0.000" Properties=species:S:1:pos:R:3 pbc="T T T"
Ta 0.000 0.000 0.000
Ta 2.318 2.318 0.000
Ta 2.318 0.000 2.318
Ta 0.000 2.318 2.318
In 3.477 3.477 3.477
In 5.796 5.796 5.796
O 7.166 4.425 4.425
O 2.106 2.106 2.106
O 4.848 4.848 2.106
O 4.848 2.106 4.848
O 4.425 7.166 4.425
O 4.425 4.425 7.166
O 7.166 7.166 7.166
O 2.106 4.848 4.848
```

Properties
ρ = 9.0 Mg/m³
crystal system = cubic
magnetization = 0.11 μB/cell
total DFT energy (no corrections) = -8.27 eV per atom

[3]
The following is a DFT calculation (PBE-GGA) of a geometry-optimized YBeFeSn structure.

The structure in extended XYZ format:
```
4
Lattice="0.000 3.249 3.249 3.249 0.000 3.249 3.249 3.249 0.000" Properties=species:S:1:pos:R:3 pbc="T T T"
Y 0.000 0.000 0.000
Be 4.874 4.874 4.874
Fe 3.249 3.249 3.249
Sn 1.625 1.625 1.625
```

Properties
ρ = 6.6 Mg/m³
crystal system = cubic
offset from the most stable computed form = 129 meV/atom
magnetization = 1.69 μB/cell
total DFT energy (no corrections) = -5.44 eV per atom

[4]
The following is a DFT calculation (PBE-GGA) of a geometry-optimized Mo2PC structure.

The structure in extended XYZ format:
```
24
Lattice="4.801 -2.752 0.000 4.801 2.752 0.000 -3.017 0.000 11.618" Properties=species:S:1:pos:R:3 pbc="T T T"
Mo 2.400 2.285 6.827
Mo 2.675 2.285 10.600
Mo 2.480 0.550 1.194
Mo 2.431 0.354 4.604
Mo 0.971 -0.550 7.003
Mo 0.923 -0.354 10.413
Mo 5.661 0.354 1.205
Mo 5.613 0.550 4.615
Mo 4.152 -0.354 7.014
Mo 4.104 -0.550 10.424
Mo 3.908 -2.285 1.018
Mo 4.184 -2.285 4.791
P -0.736 0.404 8.718
P 0.772 -0.404 2.909
P 2.537 0.548 8.713
P 4.046 -0.548 2.904
P 5.811 0.404 8.709
P 7.320 -0.404 2.900
C 0.892 1.376 5.809
C 1.017 1.384 11.607
C 4.058 1.384 5.820
C 2.400 -1.376 0.000
C 2.525 -1.384 5.798
C 5.567 -1.384 0.011
```

Properties
ρ = 7.6 Mg/m³
crystal system = monoclinic
offset from the most stable computed form = 0 meV/atom
magnetization = 0.00 μB/cell
total DFT energy (no corrections) = -9.24 eV per atom

[5]
The following is a DFT calculation (PBE-GGA) of a geometry-optimized Rb3FeSe3 structure.

The structure in extended XYZ format:
```
28
Lattice="9.827 -3.633 0.000 9.827 3.633 0.000 0.000 0.000 13.574" Properties=species:S:1:pos:R:3 pbc="T T T"
Rb 3.463 1.168 11.869
Rb 9.827 2.596 11.166
Rb 6.364 1.168 8.492
Rb 3.463 -1.168 1.705
Rb 9.827 1.037 4.379
Rb 6.364 -1.168 5.082
Rb 13.290 1.168 8.492
Rb 9.827 -1.037 9.196
Rb 16.191 1.168 11.869
Rb 13.290 -1.168 5.082
Rb 9.827 -2.596 2.409
Rb 16.191 -1.168 1.705
Fe 1.507 0.000 6.787
Fe 8.320 0.000 0.000
Fe 11.334 0.000 0.000
Fe 18.147 0.000 6.787
Se 6.940 2.558 5.176
Se 6.940 1.075 11.963
Se 9.827 2.042 7.771
Se 9.827 1.592 0.984
Se 12.714 2.558 5.176
Se 12.714 1.075 11.963
Se 6.940 -1.075 1.611
Se 6.940 -2.558 8.398
Se 9.827 -1.592 12.590
Se 9.827 -2.042 5.803
Se 12.714 -1.075 1.611
Se 12.714 -2.558 8.398
```

Properties
ρ = 3.8 Mg/m³
crystal system = orthorhombic
offset from the most stable computed form = 0 meV/atom
magnetization = 16.04 μB/cell
total DFT energy (no corrections) = -3.97 eV per atom

[6]
The following is a DFT calculation (PBE-GGA) of a geometry-optimized BaGdAg2Sb2 structure.

The structure in extended XYZ format:
```
6
Lattice="4.822 0.000 0.000 -2.411 4.176 0.000 0.000 0.000 8.361" Properties=species:S:1:pos:R:3 pbc="T T T"
Ba 0.000 0.000 0.000
Gd 0.000 0.000 4.186
Ag 0.000 2.784 5.680
Ag 2.411 1.392 2.669
Sb 0.000 2.784 2.286
Sb 2.411 1.392 6.094
```

Properties
ρ = 7.4 Mg/m³
crystal system = trigonal
magnetization = 0.02 μB/cell
total DFT energy (no corrections) = -4.12 eV per atom

[7]
The following is a DFT calculation (PBE-GGA) of a geometry-optimized PrAuSeO structure.

The structure in extended XYZ format:
```
16
Lattice="5.835 0.000 0.000 0.000 9.569 0.000 0.000 0.000 5.843" Properties=species:S:1:pos:R:3 pbc="T T T"
Pr 0.000 1.187 1.461
Pr 0.000 8.381 4.382
Pr 2.918 1.187 4.382
Pr 2.918 8.381 1.461
Au 1.459 4.784 1.399
Au 1.459 4.784 4.320
Au 4.376 4.784 1.523
Au 4.376 4.784 4.444
Se 0.000 2.729 4.382
Se 0.000 6.840 1.461
Se 2.918 2.729 1.461
Se 2.918 6.840 4.382
O 1.459 0.000 0.007
O 1.459 0.000 2.929
O 4.376 0.000 2.914
O 4.376 0.000 5.836
```

Properties
ρ = 8.8 Mg/m³
crystal system = orthorhombic
magnetization = 0.00 μB/cell
total DFT energy (no corrections) = -5.99 eV per atom

[8]
The following is a DFT calculation (PBE-GGA) of a geometry-optimized Li4NiSn2Pd structure.

The structure in extended XYZ format:
```
8
Lattice="4.408 0.000 0.000 0.000 4.408 0.000 0.000 0.000 6.244" Properties=species:S:1:pos:R:3 pbc="T T T"
Li 0.000 0.000 0.000
Li 0.000 2.204 1.544
Li 2.204 0.000 4.700
Li 2.204 2.204 3.122
Ni 2.204 2.204 0.000
Sn 0.000 2.204 4.778
Sn 2.204 0.000 1.466
Pd 0.000 0.000 3.122
```

Properties
ρ = 5.9 Mg/m³
crystal system = tetragonal
magnetization = 0.01 μB/cell
total DFT energy (no corrections) = -3.77 eV per atom